Record 1
## CaLaB6C6 (GGA-PBE)

Data for a relaxed structure of CaLaB6C6.

Size of the total moment   0.00 μB per cell
DFT formation energy   -62 meV per atom

abc: 4.854 4.854 4.854
angles: 90.00 90.00 90.00
Fractional positions:
La 0.500 0.500 0.500
B 0.754 0.500 0.000
B 0.000 0.246 0.500
B 0.500 0.000 0.246
B 0.000 0.754 0.500
B 0.246 0.500 0.000
B 0.500 0.000 0.754
Ca 0.000 0.000 0.000
C 0.750 0.000 0.500
C 0.500 0.750 0.000
C 0.500 0.250 0.000
C 0.250 0.000 0.500
C 0.000 0.500 0.750
C 0.000 0.500 0.250

***

Record 2
## LiCaB2C (GGA-PBE)

Data for a relaxed structure of LiCaB2C.

Size of the total moment   0.00 μB per cell
DFT formation energy   1183 meV per atom

abc: 3.510 4.532 3.510
angles: 90.00 90.00 90.00
Fractional positions:
C 0.000 0.000 0.000
Ca 0.000 0.500 0.000
B 0.500 0.000 0.000
B 0.000 0.000 0.500
Li 0.500 0.500 0.500